Here is crystalline CrTeAsF2 at its relaxed geometry from Alexandria via LeMat-Bulk. Energies are from PBE+U.

Unit cell a=4.3370 b=4.3370 c=5.6983 alpha=90.00 beta=90.00 gamma=90.00
Last column: nearest neighbours and their distance in Å.
Space group P4/mmm (No. 123)
Symmetry-distinct sites (fractional):
Cr 0.0000 0.0000 0.0000 (multiplicity 1)  4 As 3.07
Te 0.5000 0.5000 0.5000 (multiplicity 1)  4 F 2.17
As 0.5000 0.5000 0.0000 (multiplicity 1)  2 Te 2.85, 4 Cr 3.07
F 0.0000 0.5000 0.5000 (multiplicity 2)  2 Te 2.17

Calculated values
The calculation puts the total magnetization at 0.88 μB per atom. The calculation puts the total energy at -22.1 eV/f.u. The distance to the lowest polymorph of the same formula comes out at 3.74 eV per formula unit.